1.
## GdMgSnPd (PBE)

Data for GdMgSnPd after structural relaxation.

## Properties
DOS at the Fermi energy (states/eV per cell): 8.7
Mass density (kg/m3): 7656
Energy (eV per atom): -6.8233
E_form (meV/atom): -606
Spin magnetization (μB per cell): 28.22

Cell and atoms, written as CIF:
```
data_GdMgSnPd
_chemical_formula_sum 'Gd4 Mg4 Sn4 Pd4'
_cell_length_a 7.066
_cell_length_b 7.066
_cell_length_c 7.066
_cell_angle_alpha 90.00
_cell_angle_beta 90.00
_cell_angle_gamma 90.00
_space_group_name_H-M_alt 'F -4 3 m'
_space_group_IT_number 216
_space_group_name_Hall 'F -4 2 3'
loop_
_atom_site_label
_atom_site_fract_x
_atom_site_fract_y
_atom_site_fract_z
_atom_site_occupancy
Gd1 0.000 0.000 0.000 1
Mg1 0.000 0.000 0.500 1
Sn1 0.250 0.250 0.750 1
Pd1 0.250 0.250 0.250 1
```

***

2.
## GdMgZnPd (PBE)

Data for GdMgZnPd after structural relaxation.

## Properties
DOS at the Fermi energy (states/eV per cell): 14.9
Mass density (kg/m3): 7305
Energy (eV per atom): -6.0517
E_form (meV/atom): -516
Spin magnetization (μB per cell): 29.35

Cell and atoms, written as CIF:
```
data_GdMgZnPd
_chemical_formula_sum 'Gd4 Mg4 Zn4 Pd4'
_cell_length_a 6.849
_cell_length_b 6.849
_cell_length_c 6.849
_cell_angle_alpha 90.00
_cell_angle_beta 90.00
_cell_angle_gamma 90.00
_space_group_name_H-M_alt 'F -4 3 m'
_space_group_IT_number 216
_space_group_name_Hall 'F -4 2 3'
loop_
_atom_site_label
_atom_site_fract_x
_atom_site_fract_y
_atom_site_fract_z
_atom_site_occupancy
Gd1 0.000 0.000 0.000 1
Mg1 0.000 0.000 0.500 1
Zn1 0.250 0.250 0.750 1
Pd1 0.250 0.250 0.250 1
```

***

3.
## PmGdMg2 (PBE)

Data for PmGdMg2 after structural relaxation.

## Properties
DOS at the Fermi energy (states/eV per cell): 4.9
Mass density (kg/m3): 5127
Energy (eV per atom): -5.6131
E_form (meV/atom): -108
Spin magnetization (μB per cell): 7.84

Cell and atoms, written as CIF:
```
data_PmGdMg2
_chemical_formula_sum 'Pm1 Gd1 Mg2'
_cell_length_a 5.426
_cell_length_b 5.426
_cell_length_c 3.860
_cell_angle_alpha 90.00
_cell_angle_beta 90.00
_cell_angle_gamma 90.00
_space_group_name_H-M_alt 'P 4/m m m'
_space_group_IT_number 123
_space_group_name_Hall '-P 4 2'
loop_
_atom_site_label
_atom_site_fract_x
_atom_site_fract_y
_atom_site_fract_z
_atom_site_occupancy
Pm1 0.000 0.000 0.000 1
Gd1 0.500 0.500 0.000 1
Mg1 0.000 0.500 0.500 1
```

***

Question: Among the records above, which one has the lowest energy?
Answer: GdMgSnPd